{"formula": "ScGaNi", "functional": "GGA-PBE", "state": "optimized geometry", "final_energy_ev_per_fu": -16.97, "sg": "C2/m", "formation_energy_ev_per_atom": -0.610, "volume_a3_per_atom": 16.06, "lattice": [[4.655, -2.065, 0.000], [4.655, 2.065, 0.000], [-3.930, 0.000, 5.011]], "species": ["Sc", "Sc", "Ga", "Ga", "Ni", "Ni"], "fractional_positions": [[0.055, 0.055, 0.310], [0.945, 0.945, 0.690], [0.326, 0.326, 0.896], [0.674, 0.674, 0.104], [0.342, 0.342, 0.307], [0.658, 0.658, 0.693]]}



{"formula": "Y2Cd", "functional": "GGA-PBE", "state": "optimized geometry", "final_energy_ev_per_fu": -14.25, "sg": "I4/mcm", "formation_energy_ev_per_atom": -0.134, "volume_a3_per_atom": 29.82, "lattice": [[-3.678, 3.678, 3.307], [3.678, -3.678, 3.307], [3.678, 3.678, -3.307]], "species": ["Y", "Y", "Y", "Y", "Cd", "Cd"], "fractional_positions": [[0.170, 0.670, 0.839], [0.330, 0.170, 0.500], [0.670, 0.830, 0.500], [0.830, 0.330, 0.161], [0.250, 0.250, 0.000], [0.750, 0.750, 0.000]]}



{"formula": "TeRhAu3", "functional": "GGA-PBE", "state": "optimized geometry", "final_energy_ev_per_fu": -14.86, "sg": "Pm-3m", "polymorph_energy_mev_per_atom": 193, "volume_a3_per_atom": 26.93, "lattice": [[5.126, 0.000, 0.000], [0.000, 5.126, 0.000], [0.000, 0.000, 5.126]], "species": ["Te", "Rh", "Au", "Au", "Au"], "fractional_positions": [[0.000, 0.000, 0.000], [0.500, 0.500, 0.500], [0.000, 0.000, 0.500], [0.000, 0.500, 0.000], [0.500, 0.000, 0.000]]}



{"formula": "NdSm12Dy2", "functional": "GGA-PBE", "state": "optimized geometry", "final_energy_ev_per_fu": -68.22, "sg": "Cmme", "formation_energy_ev_per_atom": 0.159, "volume_a3_per_atom": 34.15, "lattice": [[3.574, -5.757, 0.000], [3.574, 5.757, 0.000], [0.000, 0.000, 24.895]], "species": ["Nd", "Nd", "Sm", "Sm", "Sm", "Sm", "Sm", "Sm", "Sm", "Sm", "Sm", "Sm", "Sm", "Sm", "Sm", "Sm", "Sm", "Sm", "Sm", "Sm", "Sm", "Sm", "Sm", "Sm", "Sm", "Sm", "Dy", "Dy", "Dy", "Dy"], "fractional_positions": [[0.250, 0.750, 0.999], [0.750, 0.250, 0.001], [0.002, 0.502, 0.869], [0.002, 0.998, 0.077], [0.018, 0.518, 0.415], [0.023, 0.977, 0.560], [0.250, 0.250, 0.201], [0.250, 0.250, 0.326], [0.250, 0.250, 0.674], [0.250, 0.250, 0.799], [0.477, 0.523, 0.560], [0.482, 0.982, 0.415], [0.498, 0.502, 0.077], [0.498, 0.998, 0.869], [0.502, 0.002, 0.131], [0.502, 0.498, 0.923], [0.518, 0.018, 0.585], [0.523, 0.477, 0.440], [0.750, 0.750, 0.201], [0.750, 0.750, 0.326], [0.750, 0.750, 0.674], [0.750, 0.750, 0.799], [0.977, 0.023, 0.440], [0.982, 0.482, 0.585], [0.998, 0.002, 0.923], [0.998, 0.498, 0.131], [0.250, 0.750, 0.267], [0.250, 0.750, 0.728], [0.750, 0.250, 0.272], [0.750, 0.250, 0.733]]}



{"formula": "Y2SnPb4", "functional": "GGA-PBE", "state": "optimized geometry", "final_energy_ev_per_fu": -33.65, "sg": "C2/m", "formation_energy_ev_per_atom": -0.269, "volume_a3_per_atom": 30.58, "lattice": [[4.603, -4.818, 0.000], [4.603, 4.818, 0.000], [-4.583, 0.000, 4.826]], "species": ["Y", "Y", "Sn", "Pb", "Pb", "Pb", "Pb"], "fractional_positions": [[0.000, 0.500, 0.000], [0.500, 0.000, 0.000], [0.000, 0.000, 0.500], [0.000, 0.000, 0.000], [0.000, 0.500, 0.500], [0.500, 0.000, 0.500], [0.500, 0.500, 0.000]]}



{"formula": "La4NdPt", "functional": "GGA-PBE", "state": "optimized geometry", "final_energy_ev_per_fu": -32.20, "sg": "C2/c", "formation_energy_ev_per_atom": -0.281, "volume_a3_per_atom": 33.59, "lattice": [[4.910, -7.636, 0.000], [4.910, 7.636, 0.000], [-3.991, 0.000, 5.376]], "species": ["La", "La", "La", "La", "La", "La", "La", "La", "Nd", "Nd", "Pt", "Pt"], "fractional_positions": [[0.056, 0.231, 0.138], [0.114, 0.478, 0.763], [0.231, 0.056, 0.638], [0.478, 0.114, 0.263], [0.522, 0.886, 0.737], [0.769, 0.944, 0.362], [0.886, 0.522, 0.237], [0.944, 0.769, 0.862], [0.473, 0.527, 0.250], [0.527, 0.473, 0.750], [0.244, 0.756, 0.250], [0.756, 0.244, 0.750]]}



{"formula": "NpTl3Ag2Se6", "functional": "GGA-PBE", "state": "optimized geometry", "final_energy_ev_per_fu": -51.68, "sg": "C2/m", "volume_a3_per_atom": 26.85, "lattice": [[3.389, -6.238, 0.000], [3.389, 6.238, 0.000], [-2.232, 0.000, 7.621]], "species": ["Np", "Tl", "Tl", "Tl", "Ag", "Ag", "Se", "Se", "Se", "Se", "Se", "Se"], "fractional_positions": [[0.000, 0.000, 0.000], [0.172, 0.828, 0.500], [0.500, 0.500, 0.500], [0.828, 0.172, 0.500], [0.346, 0.654, 0.000], [0.654, 0.346, 0.000], [0.078, 0.395, 0.201], [0.238, 0.238, 0.776], [0.395, 0.078, 0.201], [0.605, 0.922, 0.799], [0.762, 0.762, 0.224], [0.922, 0.605, 0.799]]}



{"formula": "Pr2ScSnPd6", "functional": "GGA-PBE", "state": "optimized geometry", "final_energy_ev_per_fu": -57.34, "sg": "P-1", "formation_energy_ev_per_atom": -0.629, "volume_a3_per_atom": 20.70, "lattice": [[5.683, 0.000, 0.000], [2.840, 6.071, 0.000], [2.835, -1.071, 6.000]], "species": ["Pr", "Pr", "Sc", "Sn", "Pd", "Pd", "Pd", "Pd", "Pd", "Pd"], "fractional_positions": [[0.242, 0.258, 0.259], [0.758, 0.742, 0.741], [0.000, 0.000, 0.000], [0.500, 0.500, 0.500], [0.190, 0.819, 0.304], [0.247, 0.564, 0.942], [0.311, 0.181, 0.696], [0.689, 0.819, 0.304], [0.753, 0.436, 0.058], [0.810, 0.181, 0.696]]}